Density functional theory data (GGA-PBE) for crystalline Mn2CrHPt at its relaxed geometry.

Cell lengths 3.8779, 3.8779, 3.8097 Å; angles 90.00, 90.00, 90.00 degrees
Element x y z (fractional)
1 Mn 0.0000 0.5000 0.0000
2 Mn 0.5000 0.0000 0.0000
3 Cr 0.0000 0.0000 0.5000
4 H 0.5000 0.5000 0.0000
5 Pt 0.5000 0.5000 0.5000

* relative energy among the computed polymorphs: 0.0 kJ per mole of atoms
* electronic total energy: -7.590 eV/atom